1.
Compound: BeSCl2F
Source: Alexandria
Functional: GGA-PBE
Structure: relaxed

Properties
For the energy above the most stable polymorph in this dataset, the calculation gives 0.688 eV/atom. As for the volume: 20.48 Å³ per atom. The value obtained for the formation energy without anion corrections is 637 meV/atom.

Cell: 5.320 5.320 3.618 Å, 90.00 90.00 90.00°
Fractional coordinates of all 5 atoms:
Be1 0.000 0.000 0.000
S1 0.500 0.500 0.000
Cl1 0.000 0.500 0.500
Cl2 0.500 0.000 0.500
F1 0.500 0.500 0.500

=====

2.
Compound: Cs2YI6
Source: Alexandria
Functional: GGA-PBE
Structure: relaxed

Properties
As for the volume: 44.95 Å³ per atom. The value obtained for the formation energy without anion corrections is -1174 meV/atom.

Cell: 4.823 9.846 9.846 Å, 120.09 90.00 90.00°
Fractional coordinates of all 9 atoms:
Cs1 0.000 0.167 0.833
Cs2 0.000 0.833 0.167
Y1 0.500 0.501 0.501
I1 0.000 0.278 0.501
I2 0.000 0.501 0.278
I3 0.000 0.724 0.724
I4 0.500 0.156 0.156
I5 0.500 0.500 0.846
I6 0.500 0.846 0.500

=====

The lowest formation energy without anion corrections belongs to which entry? Cs2YI6

=====

Copy entry 2 word for word.
Compound: Cs2YI6
Source: Alexandria
Functional: GGA-PBE
Structure: relaxed

Properties
As for the volume: 44.95 Å³ per atom. The value obtained for the formation energy without anion corrections is -1174 meV/atom.

Cell: 4.823 9.846 9.846 Å, 120.09 90.00 90.00°
Fractional coordinates of all 9 atoms:
Cs1 0.000 0.167 0.833
Cs2 0.000 0.833 0.167
Y1 0.500 0.501 0.501
I1 0.000 0.278 0.501
I2 0.000 0.501 0.278
I3 0.000 0.724 0.724
I4 0.500 0.156 0.156
I5 0.500 0.500 0.846
I6 0.500 0.846 0.500